Entry from Alexandria via LeMat-Bulk: an optimized crystal structure of Cd2BC (PBE).

Results
Crystal system = cubic
Total moment = 0.000 μB per atom
Relative energy among the computed polymorphs = 0.035 eV per atom
ΔH_f (0 K) = 1.784 eV per atom

abc: 4.341 4.341 4.341
angles: 60.00 60.00 60.00
Element x y z (fractional)
C: 0.500 0.500 0.500
B: 0.000 0.000 0.000
Cd: 0.250 0.250 0.250
Cd: 0.750 0.750 0.750